(1)
A geometry-optimized Ni5Ag structure, computed with PBE-GGA.

a = 3.642 Å, b = 3.642 Å, c = 5.738 Å
α = 108.50°, β = 90.00°, γ = 90.00°
Element x y z (fractional)
Ni  0.500  0.826  0.652
Ni  0.000  0.674  0.348
Ni  0.500  0.500  0.000
Ni  0.000  0.326  0.652
Ni  0.500  0.174  0.348
Ag  0.000  0.000  0.000

## Properties
As for the energy of formation: 1.04 eV/f.u. Its space-group type is Cmmm, No. 65.

---

(2)
A geometry-optimized PaCoSe2 structure, computed with PBE-GGA.

a = 4.146 Å, b = 4.146 Å, c = 8.083 Å
α = 75.14°, β = 75.14°, γ = 60.00°
Element x y z (fractional)
Pa  0.500  0.500  0.500
Co  0.000  0.000  0.000
Se  0.098  0.098  0.707
Se  0.902  0.902  0.293

## Properties
The value obtained for the relative energy among the computed polymorphs is 0.649 eV/atom. The value obtained for the uncorrected formation energy is -128 kJ/mol of formula units. Its space-group type is R-3m, No. 166.

---

(3)
A geometry-optimized Ba2Bi5Rh3 structure, computed with PBE-GGA.

a = 4.795 Å, b = 7.813 Å, c = 14.536 Å
α = 90.00°, β = 99.49°, γ = 90.00°
Element x y z (fractional)
Ba  0.474  0.754  0.949
Ba  0.174  0.737  0.347
Ba  0.826  0.237  0.653
Ba  0.526  0.254  0.051
Bi  0.404  0.377  0.809
Bi  0.285  0.518  0.571
Bi  0.715  0.018  0.429
Bi  0.123  0.257  0.247
Bi  0.297  0.930  0.594
Bi  0.949  0.094  0.898
Bi  0.703  0.430  0.406
Bi  0.877  0.757  0.753
Bi  0.051  0.594  0.102
Bi  0.596  0.877  0.191
Rh  0.778  0.719  0.555
Rh  0.606  0.514  0.213
Rh  0.057  0.966  0.114
Rh  0.222  0.219  0.445
Rh  0.943  0.466  0.886
Rh  0.394  0.014  0.787

## Properties
The value obtained for the relative energy among the computed polymorphs is 0.040 eV/atom. As for the energy of formation: -4.08 eV/f.u. Its space-group type is Cmc2_1, No. 36.

---

(4)
A geometry-optimized Li2HgBi2 structure, computed with PBE-GGA.

a = 5.615 Å, b = 5.615 Å, c = 6.066 Å
α = 62.43°, β = 62.43°, γ = 90.00°
Element x y z (fractional)
Hg  0.000  0.000  0.000
Bi  0.331  0.331  0.337
Bi  0.669  0.669  0.663
Li  0.750  0.250  0.500
Li  0.250  0.750  0.500

## Properties
The value obtained for the relative energy among the computed polymorphs is 0.189 eV/atom. As for the energy of formation: -0.39 eV/f.u. Its space-group type is I4/mmm, No. 139.

---

(5)
A geometry-optimized YCdIn structure, computed with PBE-GGA.

a = 4.905 Å, b = 4.905 Å, c = 3.617 Å
α = 90.00°, β = 90.00°, γ = 120.00°
Element x y z (fractional)
Y  0.333  0.667  0.666
Cd  0.000  0.000  0.167
In  0.667  0.333  0.166

## Properties
As for the energy of formation: -1.24 eV/f.u. Its space-group type is P-6m2, No. 187.

---

(6)
A geometry-optimized Sm2Pa2Te7 structure, computed with PBE-GGA.

a = 5.253 Å, b = 5.253 Å, c = 14.882 Å
α = 90.00°, β = 90.00°, γ = 90.00°
Element x y z (fractional)
Sm  0.500  0.000  0.863
Sm  0.000  0.500  0.137
Pa  0.500  0.000  0.375
Pa  0.000  0.500  0.625
Te  0.500  0.500  0.000
Te  0.000  0.000  0.241
Te  0.500  0.500  0.259
Te  0.000  0.000  0.500
Te  0.500  0.500  0.500
Te  0.000  0.000  0.759
Te  0.500  0.500  0.741

## Properties
The value obtained for the relative energy among the computed polymorphs is 0.175 eV/atom. The value obtained for the uncorrected formation energy is -967 kJ/mol of formula units. Its space-group type is P-4m2, No. 115.

---

(7)
A geometry-optimized InSn2H2Pd7 structure, computed with PBE-GGA.

a = 4.055 Å, b = 4.055 Å, c = 11.538 Å
α = 75.62°, β = 75.62°, γ = 90.38°
Element x y z (fractional)
In  0.000  0.000  0.000
Sn  0.747  0.747  0.379
Sn  0.253  0.253  0.621
H  0.640  0.640  0.822
H  0.360  0.360  0.178
Pd  0.500  0.500  0.000
Pd  0.236  0.236  0.391
Pd  0.764  0.764  0.609
Pd  0.867  0.369  0.194
Pd  0.369  0.867  0.194
Pd  0.631  0.133  0.806
Pd  0.133  0.631  0.806

## Properties
Its space-group type is C2/m, No. 12.

---

(8)
A geometry-optimized IrSe2Br structure, computed with PBE-GGA.

a = 3.026 Å, b = 3.026 Å, c = 10.424 Å
α = 90.00°, β = 90.00°, γ = 90.00°
Element x y z (fractional)
Br  0.000  0.000  0.584
Ir  0.500  0.500  0.791
Se  0.000  0.000  0.920
Se  0.500  0.500  0.205

## Properties
The value obtained for the relative energy among the computed polymorphs is 0.676 eV/atom. The value obtained for the uncorrected formation energy is 173 kJ/mol of formula units. Its space-group type is P4mm, No. 99.

---

(9)
A geometry-optimized LaHgAs2 structure, computed with PBE-GGA.

a = 6.427 Å, b = 6.427 Å, c = 6.427 Å
α = 41.07°, β = 41.07°, γ = 41.07°
Element x y z (fractional)
As  0.996  0.996  0.996
As  0.504  0.504  0.504
Hg  0.250  0.250  0.250
La  0.750  0.750  0.750

## Properties
As for the energy of formation: -1.85 eV/f.u. Its space-group type is R-3m, No. 166.

---

(10)
A geometry-optimized Nd2NpSe5 structure, computed with PBE-GGA.

a = 7.889 Å, b = 8.401 Å, c = 12.513 Å
α = 90.00°, β = 90.00°, γ = 90.00°
Element x y z (fractional)
Nd  0.475  0.499  0.822
Nd  0.525  0.501  0.178
Nd  0.975  0.501  0.678
Nd  0.525  0.999  0.178
Nd  0.025  0.499  0.322
Nd  0.475  0.001  0.822
Nd  0.025  0.001  0.322
Nd  0.975  0.999  0.678
Np  0.435  0.250  0.505
Np  0.565  0.750  0.495
Np  0.935  0.750  0.995
Np  0.065  0.250  0.005
Se  0.047  0.250  0.500
Se  0.953  0.750  0.500
Se  0.547  0.750  0.000
Se  0.453  0.250  0.000
Se  0.335  0.959  0.596
Se  0.665  0.041  0.404
Se  0.835  0.041  0.904
Se  0.665  0.459  0.404
Se  0.165  0.959  0.096
Se  0.335  0.541  0.596
Se  0.165  0.541  0.096
Se  0.835  0.459  0.904
Se  0.194  0.250  0.786
Se  0.806  0.750  0.214
Se  0.694  0.750  0.714
Se  0.306  0.250  0.286
Se  0.670  0.250  0.686
Se  0.330  0.750  0.314
Se  0.170  0.750  0.814
Se  0.830  0.250  0.186

## Properties
The value obtained for the uncorrected formation energy is -1230 kJ/mol of formula units. Its space-group type is Pnma, No. 62.

---

(11)
A geometry-optimized SrTiO structure, computed with PBE-GGA.

a = 6.071 Å, b = 3.447 Å, c = 11.560 Å
α = 90.00°, β = 108.12°, γ = 90.00°
Element x y z (fractional)
Sr  0.430  0.000  0.010
Sr  0.430  0.500  0.510
Sr  0.783  0.000  0.800
Sr  0.783  0.500  0.300
Ti  0.220  0.000  0.243
Ti  0.220  0.500  0.743
Ti  0.014  0.000  0.557
Ti  0.014  0.500  0.057
O  0.358  0.000  0.663
O  0.358  0.500  0.163
O  0.114  0.000  0.395
O  0.114  0.500  0.895

## Properties
The value obtained for the relative energy among the computed polymorphs is 0.164 eV/atom. The value obtained for the uncorrected formation energy is -412 kJ/mol of formula units. Its space-group type is Cm, No. 8.

---

(12)
A geometry-optimized BePtAu2 structure, computed with PBE-GGA.

a = 4.585 Å, b = 5.484 Å, c = 2.903 Å
α = 75.13°, β = 88.90°, γ = 114.39°
Element x y z (fractional)
Be  0.000  0.500  0.500
Au  0.000  0.000  0.000
Au  0.500  0.000  0.500
Pt  0.500  0.500  0.000

## Properties
As for the energy of formation: 0.20 eV/f.u. Its space-group type is C2/m, No. 12.

---

| no. | E_tot (eV/atom) |
| --- | --- |
| 1 | -5.119 |
| 2 | -6.224 |
| 3 | -4.939 |
| 4 | -2.456 |
| 5 | -3.784 |
| 6 | -5.495 |
| 7 | -4.891 |
| 8 | -3.928 |
| 9 | -4.096 |
| 10 | -6.581 |
| 11 | -6.270 |
| 12 | -4.030 |